DFT (GGA-PBE) results for a relaxed CeNd2Cd crystal.

Cell lengths 3.5855, 3.5855, 11.3669 Å; angles 80.93, 80.93, 60.00 degrees
With the nearest neighbours (Å) after each atom.
Fractional positions:
Nd: 0.2545 0.2545 0.2364  3 Cd 3.36, 6 Nd 3.59, 3 Ce 3.61
Nd: 0.0791 0.0791 0.7626  3 Cd 3.36, 3 Ce 3.58, 6 Nd 3.59
Cd: 0.6667 0.6667 0.9998  6 Nd 3.36, 6 Cd 3.59
Ce: 0.4996 0.4996 0.5013  6 Nd 3.58-3.61, 6 Ce 3.59

Output
energy = -4.093 eV per atom
formation enthalpy at 0 K = 0.01 eV/f.u.
total magnetic moment = 0.239 μB/atom
N(E_F) = 7.14 states/eV/cell
energy above the lowest structure with this stoichiometry = 0.115 eV/atom

DFT (GGA-PBE) results for a relaxed Ce5Nd12Cd3 crystal.

Cell lengths 15.2559, 15.2559, 15.2559 Å; angles 109.47, 109.47, 109.47 degrees
With the nearest neighbours (Å) after each atom.
Fractional positions:
Ce: 0.1250 0.3750 0.2500  4 Nd 2.80
Ce: 0.5000 0.5000 0.0000  6 Nd 3.03
Nd: 0.5841 0.9475 0.6743  2 Ce 2.80-3.03
Nd: 0.7731 0.4475 0.3634  2 Ce 2.80-3.03
Nd: 0.8634 0.5903 0.9159  2 Ce 2.80-3.03
Nd: 0.6366 0.5841 0.9097  2 Ce 2.80-3.03
Nd: 0.0903 0.1743 0.2269  2 Ce 2.80-3.03
Nd: 0.5903 0.7269 0.6743  2 Ce 2.80-3.03
Nd: 0.6743 0.4475 0.5841  2 Ce 2.80-3.03
Nd: 0.4097 0.1366 0.5841  2 Ce 2.80-3.03
Nd: 0.1366 0.7269 0.5525  2 Ce 2.80-3.03
Ce: 0.1250 0.7500 0.3750  4 Nd 2.80
Ce: 0.2500 0.8750 0.1250  4 Nd 2.80
Nd: 0.8257 0.9097 0.2731  2 Ce 2.80-3.03
Nd: 0.2731 0.8634 0.9475  2 Ce 2.80-3.03
Nd: 0.0903 0.9159 0.3634  2 Ce 2.80-3.03
Ce: 0.7500 0.6250 0.3750  4 Nd 2.80
Ce: 0.2500 0.3750 0.6250  4 Nd 2.80
Nd: 0.6366 0.0525 0.2269  2 Ce 2.80-3.03
Nd: 0.0525 0.4159 0.8257  2 Ce 2.80-3.03
Nd: 0.7269 0.1366 0.0525  2 Ce 2.80-3.03
Cd: 0.7500 0.8750 0.6250  8 Nd 3.21-3.28
Cd: 0.8750 0.1250 0.2500  8 Nd 3.21-3.28
Nd: 0.0525 0.6366 0.7269  2 Ce 2.80-3.03
Nd: 0.9097 0.0841 0.6366  2 Ce 2.80-3.03
Ce: 0.5000 0.0000 0.0000  6 Nd 3.03
Nd: 0.5841 0.6366 0.4097  2 Ce 2.80-3.03
Cd: 0.3750 0.6250 0.2500  8 Nd 3.21-3.28
Nd: 0.1743 0.0903 0.7269  2 Ce 2.80-3.03
Cd: 0.1250 0.8750 0.7500  8 Nd 3.21-3.28
Nd: 0.5525 0.2269 0.1366  2 Ce 2.80-3.03
Nd: 0.9159 0.8257 0.5525  2 Ce 2.80-3.03
Ce: 0.6250 0.7500 0.8750  4 Nd 2.80
Nd: 0.1366 0.4097 0.0841  2 Ce 2.80-3.03
Ce: 0.0000 0.0000 0.5000  6 Nd 3.03
Cd: 0.2500 0.1250 0.3750  8 Nd 3.21-3.28
Nd: 0.9097 0.8257 0.7731  2 Ce 2.80-3.03
Nd: 0.7731 0.3257 0.9097  2 Ce 2.80-3.03
Cd: 0.7500 0.3750 0.1250  8 Nd 3.21-3.28
Nd: 0.8257 0.9159 0.0525  2 Ce 2.80-3.03
Nd: 0.2269 0.6743 0.0903  2 Ce 2.80-3.03
Nd: 0.5525 0.3257 0.9159  2 Ce 2.80-3.03
Nd: 0.4475 0.7731 0.8634  2 Ce 2.80-3.03
Cd: 0.8750 0.7500 0.1250  8 Nd 3.21-3.28
Nd: 0.3257 0.7731 0.4097  2 Ce 2.80-3.03
Ce: 0.0000 0.5000 0.0000  6 Nd 3.03
Ce: 0.0000 0.5000 0.5000  6 Nd 3.03
Nd: 0.2269 0.5525 0.6366  2 Ce 2.80-3.03
Ce: 0.6250 0.8750 0.2500  4 Nd 2.80
Nd: 0.6743 0.2269 0.5903  2 Ce 2.80-3.03
Nd: 0.4475 0.6743 0.0841  2 Ce 2.80-3.03
Nd: 0.0841 0.9097 0.1366  2 Ce 2.80-3.03
Ce: 0.3750 0.2500 0.1250  4 Nd 2.80
Ce: 0.5000 0.5000 0.5000  6 Nd 3.03
Nd: 0.3634 0.4159 0.0903  2 Ce 2.80-3.03
Cd: 0.3750 0.7500 0.6250  8 Nd 3.21-3.28
Nd: 0.9475 0.5841 0.1743  2 Ce 2.80-3.03
Nd: 0.3634 0.9475 0.7731  2 Ce 2.80-3.03
Nd: 0.9475 0.3634 0.2731  2 Ce 2.80-3.03
Nd: 0.0841 0.1743 0.4475  2 Ce 2.80-3.03
Ce: 0.8750 0.2500 0.6250  4 Nd 2.80
Cd: 0.6250 0.2500 0.3750  8 Nd 3.21-3.28
Nd: 0.5903 0.8634 0.4159  2 Ce 2.80-3.03
Nd: 0.4097 0.2731 0.3257  2 Ce 2.80-3.03
Cd: 0.1250 0.2500 0.8750  8 Nd 3.21-3.28
Ce: 0.3750 0.1250 0.7500  4 Nd 2.80
Ce: 0.8750 0.6250 0.7500  4 Nd 2.80
Nd: 0.3257 0.5525 0.4159  2 Ce 2.80-3.03
Nd: 0.8634 0.2731 0.4475  2 Ce 2.80-3.03
Nd: 0.4159 0.3634 0.5903  2 Ce 2.80-3.03
Cd: 0.2500 0.6250 0.8750  8 Nd 3.21-3.28
Nd: 0.2731 0.4097 0.8257  2 Ce 2.80-3.03
Cd: 0.6250 0.3750 0.7500  8 Nd 3.21-3.28
Ce: 0.0000 0.0000 0.0000  6 Nd 3.03
Nd: 0.9159 0.0903 0.8634  2 Ce 2.80-3.03
Ce: 0.7500 0.1250 0.8750  4 Nd 2.80
Ce: 0.5000 0.0000 0.5000  6 Nd 3.03
Nd: 0.7269 0.5903 0.1743  2 Ce 2.80-3.03
Nd: 0.4159 0.0525 0.3257  2 Ce 2.80-3.03
Nd: 0.1743 0.0841 0.9475  2 Ce 2.80-3.03

Output
energy = -3.819 eV per atom
formation enthalpy at 0 K = 13.26 eV/f.u.
total magnetic moment = 0.187 μB/atom
N(E_F) = 157.68 states/eV/cell

DFT (GGA-PBE) results for a relaxed CeNdCd crystal.

Cell lengths 3.4409, 5.3286, 5.3286 Å; angles 120.00, 90.00, 90.00 degrees
With the nearest neighbours (Å) after each atom.
Fractional positions:
Cd: 0.3441 0.3333 0.6667  3 Nd 3.25, 3 Ce 3.29, 2 Cd 3.44
Nd: 0.6466 0.6667 0.3333  3 Cd 3.25, 3 Ce 3.32, 2 Nd 3.44
Ce: 0.0093 0.0000 0.0000  3 Cd 3.29, 3 Nd 3.32, 2 Ce 3.44

Output
energy = -3.897 eV per atom
formation enthalpy at 0 K = -0.07 eV/f.u.
total magnetic moment = 0.279 μB/atom
N(E_F) = 6.08 states/eV/cell
energy above the lowest structure with this stoichiometry = 0.102 eV/atom

DFT (GGA-PBE) results for a relaxed CeNd3Cd2 crystal.

Cell lengths 3.6873, 3.6873, 12.9816 Å; angles 90.00, 90.00, 90.00 degrees
With the nearest neighbours (Å) after each atom.
Fractional positions:
Cd: 0.5000 0.5000 0.8385  8 Nd 3.32-3.35, 4 Cd 3.69
Cd: 0.5000 0.5000 0.1615  8 Nd 3.32-3.35, 4 Cd 3.69
Nd: 0.0000 0.0000 0.3204  4 Cd 3.32, 4 Ce 3.50, 4 Nd 3.69
Ce: 0.5000 0.5000 0.5000  8 Nd 3.50, 4 Ce 3.69
Nd: 0.0000 0.0000 0.0000  8 Cd 3.35, 4 Nd 3.69
Nd: 0.0000 0.0000 0.6796  4 Cd 3.32, 4 Ce 3.50, 4 Nd 3.69

Output
energy = -3.855 eV per atom
formation enthalpy at 0 K = -1.06 eV/f.u.
total magnetic moment = 0.076 μB/atom
N(E_F) = 6.99 states/eV/cell

DFT (GGA-PBE) results for a relaxed Ce2NdCd crystal.

Cell lengths 3.3595, 3.3595, 10.2661 Å; angles 90.00, 90.00, 90.00 degrees
With the nearest neighbours (Å) after each atom.
Fractional positions:
Ce: 0.0000 0.0000 0.7674  4 Ce 3.36, 4 Cd 3.37, 4 Nd 3.63
Nd: 0.5000 0.5000 0.5000  4 Nd 3.36, 8 Ce 3.63
Ce: 0.0000 0.0000 0.2326  4 Ce 3.36, 4 Cd 3.37, 4 Nd 3.63
Cd: 0.5000 0.5000 0.0000  4 Cd 3.36, 8 Ce 3.37

Output
energy = -4.379 eV per atom
formation enthalpy at 0 K = 0.03 eV/f.u.
total magnetic moment = 0.456 μB/atom
N(E_F) = 10.85 states/eV/cell
energy above the lowest structure with this stoichiometry = 0.024 eV/atom

DFT (GGA-PBE) results for a relaxed CeNdCd6 crystal.

Cell lengths 4.9841, 6.7393, 6.7393 Å; angles 117.33, 90.00, 90.00 degrees
With the nearest neighbours (Å) after each atom.
Fractional positions:
Nd: 0.5000 0.4009 0.5991  12 Cd 3.26-3.51
Cd: 0.0000 0.5836 0.4164  6 Cd 3.08-3.29, 2 Nd 3.26
Ce: 0.0000 0.0987 0.9013  12 Cd 3.24-3.51
Cd: 0.5000 0.8870 0.5612  7 Cd 3.08-3.41, 2 Ce 3.24, 2 Nd 3.35-3.40
Cd: 0.0000 0.0565 0.3847  6 Cd 3.08-3.29, 2 Nd 3.26, 2 Ce 3.36-3.40
Cd: 0.5000 0.9189 0.0811  8 Cd 3.08-3.41, 2 Ce 3.24
Cd: 0.0000 0.6153 0.9435  6 Cd 3.08-3.29, 2 Nd 3.26, 2 Ce 3.36-3.40
Cd: 0.5000 0.4388 0.1130  7 Cd 3.08-3.41, 2 Ce 3.24, 2 Nd 3.35-3.40

Output
energy = -2.273 eV per atom
formation enthalpy at 0 K = -1.99 eV/f.u.
total magnetic moment = 0.122 μB/atom
N(E_F) = 11.88 states/eV/cell

DFT (GGA-PBE) results for a relaxed CeNd2Cd5 crystal.

Cell lengths 5.2521, 5.2521, 8.5552 Å; angles 107.88, 107.88, 90.00 degrees
With the nearest neighbours (Å) after each atom.
Fractional positions:
Nd: 0.2653 0.2653 0.5306  8 Cd 3.19-3.48
Cd: 0.8828 0.3828 0.7655  2 Ce 3.19, 2 Cd 3.19, 4 Nd 3.19-3.48
Cd: 0.3828 0.8828 0.7655  2 Ce 3.19, 2 Cd 3.19, 4 Nd 3.19-3.48
Cd: 0.1172 0.6172 0.2345  2 Cd 3.19, 2 Ce 3.19, 4 Nd 3.19-3.48
Nd: 0.7347 0.7347 0.4694  8 Cd 3.19-3.48
Ce: 0.0000 0.0000 0.0000  8 Cd 3.19
Cd: 0.6172 0.1172 0.2345  2 Cd 3.19, 2 Ce 3.19, 4 Nd 3.19-3.48
Cd: 0.5000 0.5000 0.0000  8 Cd 3.19

Output
energy = -2.769 eV per atom
formation enthalpy at 0 K = -2.11 eV/f.u.
total magnetic moment = 0.084 μB/atom
N(E_F) = 10.77 states/eV/cell

DFT (GGA-PBE) results for a relaxed CeNdCd3 crystal.

Cell lengths 3.4003, 5.0504, 15.3355 Å; angles 90.00, 96.37, 90.00 degrees
With the nearest neighbours (Å) after each atom.
Fractional positions:
Cd: 0.6721 0.2500 0.3443  2 Cd 2.97
Ce: 0.2176 0.7500 0.4353  7 Cd 3.35-3.40, 6 Ce 3.40-3.63
Ce: 0.7824 0.2500 0.5647  7 Cd 3.35-3.40, 6 Ce 3.40-3.63
Cd: 0.4760 0.2500 0.9519  3 Cd 2.92-2.96
Cd: 0.3279 0.7500 0.6557  2 Cd 2.97
Nd: 0.9269 0.7500 0.8538  12 Cd 3.38-3.46, 2 Nd 3.40
Cd: 0.5240 0.7500 0.0481  3 Cd 2.92-2.96
Nd: 0.0731 0.2500 0.1462  12 Cd 3.38-3.46, 2 Nd 3.40
Cd: 0.6211 0.7500 0.2422  3 Cd 2.96-2.97
Cd: 0.3789 0.2500 0.7578  3 Cd 2.96-2.97

Output
energy = -2.948 eV per atom
formation enthalpy at 0 K = -1.29 eV/f.u.
total magnetic moment = 0.251 μB/atom
N(E_F) = 15.39 states/eV/cell